{"formula": "Er4ZnCu2", "functional": "PBE-GGA", "state": "relaxed", "cell": [[7.061, 0.000, 0.000], [1.433, 6.922, 0.000], [1.975, 1.609, 6.886]], "species": ["Er", "Er", "Er", "Er", "Er", "Er", "Er", "Er", "Zn", "Zn", "Cu", "Cu", "Cu", "Cu"], "fractional_positions": [[0.000, 0.000, 0.000], [0.001, 0.003, 0.485], [0.452, 0.968, 0.637], [0.461, 0.971, 0.133], [0.489, 0.487, 0.494], [0.493, 0.492, 0.998], [0.969, 0.453, 0.637], [0.972, 0.461, 0.133], [0.774, 0.774, 0.360], [0.780, 0.779, 0.850], [0.179, 0.678, 0.281], [0.278, 0.277, 0.855], [0.281, 0.281, 0.351], [0.678, 0.178, 0.281]], "e_above_lowest_polymorph_ev_per_atom": 0.019, "spacegroup": "P1, No. 1", "energy_ev_per_atom": -4.111}



{"formula": "Pu2AlFe", "functional": "PBE-GGA", "state": "relaxed", "cell": [[3.692, 0.000, 0.000], [0.000, 3.692, 0.000], [0.000, 0.000, 5.850]], "species": ["Pu", "Pu", "Al", "Fe"], "fractional_positions": [[0.000, 0.000, 0.242], [0.000, 0.000, 0.758], [0.500, 0.500, 0.500], [0.500, 0.500, 0.000]], "spacegroup": "P4/mmm, No. 123", "energy_ev_per_atom": -10.227}



{"formula": "YTaCd2", "functional": "PBE-GGA", "state": "relaxed", "cell": [[3.120, 0.000, 0.000], [0.000, 3.120, 0.000], [0.000, 0.000, 8.938]], "species": ["Y", "Ta", "Cd", "Cd"], "fractional_positions": [[0.000, 0.000, 0.000], [0.000, 0.000, 0.500], [0.500, 0.500, 0.268], [0.500, 0.500, 0.732]], "e_above_lowest_polymorph_ev_per_atom": 0.013, "spacegroup": "P4/mmm, No. 123", "energy_ev_per_atom": -4.906}



{"formula": "Pr4Bi2N", "functional": "PBE-GGA", "state": "relaxed", "cell": [[6.329, -2.050, 0.000], [6.329, 2.050, 0.000], [-3.608, 0.000, 7.811]], "species": ["Pr", "Pr", "Pr", "Pr", "Bi", "Bi", "N"], "fractional_positions": [[0.053, 0.053, 0.316], [0.357, 0.357, 0.945], [0.643, 0.643, 0.055], [0.947, 0.947, 0.684], [0.341, 0.341, 0.328], [0.659, 0.659, 0.672], [0.000, 0.000, 0.000]], "e_above_lowest_polymorph_ev_per_atom": 0.045, "formation_energy_uncorrected_ev_per_fu": -5.9, "spacegroup": "C2/m, No. 12", "energy_ev_per_atom": -5.874}



{"formula": "BaTc2Mo", "functional": "PBE-GGA", "state": "relaxed", "cell": [[4.674, -1.577, 0.000], [4.674, 1.577, 0.000], [-1.652, 0.000, 6.273]], "species": ["Ba", "Tc", "Tc", "Mo"], "fractional_positions": [[0.000, 0.000, 0.000], [0.214, 0.214, 0.634], [0.786, 0.786, 0.366], [0.500, 0.500, 0.500]], "e_above_lowest_polymorph_ev_per_atom": 0.126, "spacegroup": "C2/m, No. 12", "energy_ev_per_atom": -7.631}



{"formula": "BeRuW2", "functional": "PBE-GGA", "state": "relaxed", "cell": [[-1.824, 1.824, 4.240], [1.824, -1.824, 4.240], [1.824, 1.824, -4.240]], "species": ["Be", "Ru", "W", "W"], "fractional_positions": [[0.000, 0.000, 0.000], [0.250, 0.750, 0.500], [0.500, 0.500, 0.000], [0.750, 0.250, 0.500]], "e_above_lowest_polymorph_ev_per_atom": 0.190, "spacegroup": "I-4m2, No. 119", "energy_ev_per_atom": -9.507}